(1)
GaPdN2: relaxed, GGA-PBE.

Output
The calculation puts the spin magnetization at 0.0 μB per formula unit. The calculation puts the raw formation energy at 0.491 eV/atom. The calculation puts the calculated total energy at -5.726 eV per atom.

Cell and atoms, written as CIF:
```
data_GaPdN2
_chemical_formula_sum 'Ga4 Pd4 N8'
_space_group_name_H-M_alt 'P 1'
_space_group_IT_number 1
_cell_length_a 4.6845
_cell_length_b 4.6845
_cell_length_c 9.2256
_cell_angle_alpha 90.00
_cell_angle_beta 90.00
_cell_angle_gamma 90.00
loop_
_space_group_symop_operation_xyz
'x,y,z'
loop_
_atom_site_label
_atom_site_fract_x
_atom_site_fract_y
_atom_site_fract_z
_atom_site_occupancy
Ga1 0.0000 0.0000 0.0000 1
Ga2 0.0000 0.5000 0.2500 1
Ga3 0.5000 0.0000 0.7500 1
Ga4 0.5000 0.5000 0.5000 1
Pd1 0.0000 0.0000 0.5000 1
Pd2 0.0000 0.5000 0.7500 1
Pd3 0.5000 0.0000 0.2500 1
Pd4 0.5000 0.5000 0.0000 1
N1 0.2255 0.2500 0.1250 1
N2 0.2500 0.7255 0.3750 1
N3 0.2500 0.7745 0.8750 1
N4 0.2745 0.2500 0.6250 1
N5 0.7255 0.7500 0.6250 1
N6 0.7500 0.2255 0.8750 1
N7 0.7500 0.2745 0.3750 1
N8 0.7745 0.7500 0.1250 1
```


(2)
RbTcSe2: relaxed, GGA-PBE.

Output
The calculation puts the spin magnetization at 0.0 μB per formula unit. The calculation puts the raw formation energy at 0.381 eV/atom. The calculation puts the calculated total energy at -4.195 eV per atom. Its polymorph energy (0 for the lowest one) is 815.8 meV per atom.

Cell and atoms, written as CIF:
```
data_RbTcSe2
_chemical_formula_sum 'Rb4 Tc4 Se8'
_space_group_name_H-M_alt 'P 1'
_space_group_IT_number 1
_cell_length_a 6.9164
_cell_length_b 6.9164
_cell_length_c 6.9164
_cell_angle_alpha 90.00
_cell_angle_beta 90.00
_cell_angle_gamma 90.00
loop_
_space_group_symop_operation_xyz
'x,y,z'
loop_
_atom_site_label
_atom_site_fract_x
_atom_site_fract_y
_atom_site_fract_z
_atom_site_occupancy
Rb1 0.0000 0.0000 0.0000 1
Rb2 0.0000 0.5000 0.5000 1
Rb3 0.5000 0.0000 0.5000 1
Rb4 0.5000 0.5000 0.0000 1
Tc1 0.0000 0.0000 0.5000 1
Tc2 0.0000 0.5000 0.0000 1
Tc3 0.5000 0.0000 0.0000 1
Tc4 0.5000 0.5000 0.5000 1
Se1 0.2500 0.2500 0.2500 1
Se2 0.2500 0.2500 0.7500 1
Se3 0.2500 0.7500 0.2500 1
Se4 0.2500 0.7500 0.7500 1
Se5 0.7500 0.2500 0.2500 1
Se6 0.7500 0.2500 0.7500 1
Se7 0.7500 0.7500 0.2500 1
Se8 0.7500 0.7500 0.7500 1
```


(3)
NbMoCl2: relaxed, GGA-PBE.

Output
The calculation puts the spin magnetization at 0.0 μB per formula unit. The calculation puts the raw formation energy at 0.675 eV/atom. The calculation puts the calculated total energy at -5.473 eV per atom. Its polymorph energy (0 for the lowest one) is 641.7 meV per atom.

Cell and atoms, written as CIF:
```
data_NbMoCl2
_chemical_formula_sum 'Nb4 Mo4 Cl8'
_space_group_name_H-M_alt 'P 1'
_space_group_IT_number 1
_cell_length_a 6.2545
_cell_length_b 6.2545
_cell_length_c 6.2545
_cell_angle_alpha 90.00
_cell_angle_beta 90.00
_cell_angle_gamma 90.00
loop_
_space_group_symop_operation_xyz
'x,y,z'
loop_
_atom_site_label
_atom_site_fract_x
_atom_site_fract_y
_atom_site_fract_z
_atom_site_occupancy
Nb1 0.0000 0.0000 0.0000 1
Nb2 0.0000 0.5000 0.5000 1
Nb3 0.5000 0.0000 0.5000 1
Nb4 0.5000 0.5000 0.0000 1
Mo1 0.0000 0.0000 0.5000 1
Mo2 0.0000 0.5000 0.0000 1
Mo3 0.5000 0.0000 0.0000 1
Mo4 0.5000 0.5000 0.5000 1
Cl1 0.2500 0.2500 0.2500 1
Cl2 0.2500 0.2500 0.7500 1
Cl3 0.2500 0.7500 0.2500 1
Cl4 0.2500 0.7500 0.7500 1
Cl5 0.7500 0.2500 0.2500 1
Cl6 0.7500 0.2500 0.7500 1
Cl7 0.7500 0.7500 0.2500 1
Cl8 0.7500 0.7500 0.7500 1
```


(4)
SrAlTc2: relaxed, GGA-PBE.

Output
The calculation puts the spin magnetization at 0.0 μB per formula unit. The value obtained for the formation energy is 0.785 eV/atom. The calculation puts the calculated total energy at -5.754 eV per atom.

Cell and atoms, written as CIF:
```
data_SrAlTc2
_chemical_formula_sum 'Sr1 Al1 Tc2'
_space_group_name_H-M_alt 'P 1'
_space_group_IT_number 1
_cell_length_a 3.3679
_cell_length_b 4.6117
_cell_length_c 4.7663
_cell_angle_alpha 90.00
_cell_angle_beta 90.00
_cell_angle_gamma 90.00
loop_
_space_group_symop_operation_xyz
'x,y,z'
loop_
_atom_site_label
_atom_site_fract_x
_atom_site_fract_y
_atom_site_fract_z
_atom_site_occupancy
Sr1 0.0000 0.0000 0.0000 1
Al1 0.5000 0.0000 0.5000 1
Tc1 0.0000 0.5000 0.5000 1
Tc2 0.5000 0.5000 0.0000 1
```


(5)
Ba2NdF6: relaxed, GGA-PBE.

Output
The calculation puts the spin magnetization at 1.0 μB per formula unit. The calculation puts the raw formation energy at -3.713 eV/atom. The calculation puts the calculated total energy at -5.918 eV per atom.

Cell and atoms, written as CIF:
```
data_Ba2NdF6
_chemical_formula_sum 'Ba2 Nd1 F6'
_space_group_name_H-M_alt 'P 1'
_space_group_IT_number 1
_cell_length_a 7.4243
_cell_length_b 7.4243
_cell_length_c 7.4243
_cell_angle_alpha 147.25
_cell_angle_beta 129.07
_cell_angle_gamma 61.88
loop_
_space_group_symop_operation_xyz
'x,y,z'
loop_
_atom_site_label
_atom_site_fract_x
_atom_site_fract_y
_atom_site_fract_z
_atom_site_occupancy
Ba1 0.1545 0.1545 0.0000 1
Ba2 0.8455 0.8455 0.0000 1
Nd1 0.5000 0.5000 0.0000 1
F1 0.1267 0.3400 0.7867 1
F2 0.3035 0.0000 0.3035 1
F3 0.4467 0.6600 0.7867 1
F4 0.5533 0.3400 0.2133 1
F5 0.6965 0.0000 0.6965 1
F6 0.8733 0.6600 0.2133 1
```


(6)
AcSm2Er: relaxed, GGA-PBE.

Output
The calculation puts the spin magnetization at 0.0 μB per formula unit. The value obtained for the formation energy is 0.044 eV/atom. The calculation puts the calculated total energy at -4.483 eV per atom. Its polymorph energy (0 for the lowest one) is 0.0 meV per atom.

Cell and atoms, written as CIF:
```
data_AcSm2Er
_chemical_formula_sum 'Ac1 Sm2 Er1'
_space_group_name_H-M_alt 'P 1'
_space_group_IT_number 1
_cell_length_a 5.1881
_cell_length_b 5.1881
_cell_length_c 5.2545
_cell_angle_alpha 90.00
_cell_angle_beta 90.00
_cell_angle_gamma 90.00
loop_
_space_group_symop_operation_xyz
'x,y,z'
loop_
_atom_site_label
_atom_site_fract_x
_atom_site_fract_y
_atom_site_fract_z
_atom_site_occupancy
Ac1 0.0000 0.0000 0.0000 1
Sm1 0.0000 0.5000 0.5000 1
Sm2 0.5000 0.0000 0.5000 1
Er1 0.5000 0.5000 0.0000 1
```


(7)
Na3ReMo3N8: relaxed, GGA-PBE.

Output
The calculation puts the spin magnetization at 0.0 μB per formula unit. The calculation puts the raw formation energy at -0.131 eV/atom. The calculation puts the calculated total energy at -7.831 eV per atom.

Cell and atoms, written as CIF:
```
data_Na3ReMo3N8
_chemical_formula_sum 'Na3 Re1 Mo3 N8'
_space_group_name_H-M_alt 'P 1'
_space_group_IT_number 1
_cell_length_a 5.9478
_cell_length_b 5.9478
_cell_length_c 6.8238
_cell_angle_alpha 115.78
_cell_angle_beta 115.78
_cell_angle_gamma 59.99
loop_
_space_group_symop_operation_xyz
'x,y,z'
loop_
_atom_site_label
_atom_site_fract_x
_atom_site_fract_y
_atom_site_fract_z
_atom_site_occupancy
Na1 0.0000 0.0000 0.0000 1
Na2 0.0000 0.5000 0.0000 1
Na3 0.5000 0.0000 0.0000 1
Re1 0.0000 0.0000 0.5000 1
Mo1 0.0000 0.5000 0.5000 1
Mo2 0.5000 0.0000 0.5000 1
Mo3 0.5000 0.5000 0.5000 1
N1 0.2307 0.2307 0.6977 1
N2 0.2306 0.7368 0.6977 1
N3 0.2632 0.7694 0.3023 1
N4 0.2658 0.2658 0.2973 1
N5 0.7342 0.7342 0.7027 1
N6 0.7368 0.2306 0.6977 1
N7 0.7694 0.2632 0.3023 1
N8 0.7693 0.7693 0.3023 1
```


(8)
AcLa2Pm3As6: relaxed, GGA-PBE.

Output
The calculation puts the spin magnetization at 0.0 μB per formula unit. The value obtained for the formation energy is -1.523 eV/atom. The calculation puts the calculated total energy at -6.199 eV per atom.

Cell and atoms, written as CIF:
```
data_AcLa2Pm3As6
_chemical_formula_sum 'Ac1 La2 Pm3 As6'
_space_group_name_H-M_alt 'P 1'
_space_group_IT_number 1
_cell_length_a 9.6997
_cell_length_b 9.6997
_cell_length_c 8.6805
_cell_angle_alpha 102.98
_cell_angle_beta 102.98
_cell_angle_gamma 25.85
loop_
_space_group_symop_operation_xyz
'x,y,z'
loop_
_atom_site_label
_atom_site_fract_x
_atom_site_fract_y
_atom_site_fract_z
_atom_site_occupancy
Ac1 0.0000 0.0000 0.0000 1
La1 0.3324 0.3324 0.6656 1
La2 0.6676 0.6676 0.3344 1
Pm1 0.0000 0.0000 0.5000 1
Pm2 0.3333 0.3333 0.1679 1
Pm3 0.6667 0.6667 0.8321 1
As1 0.1654 0.1654 0.5862 1
As2 0.1706 0.1706 0.0811 1
As3 0.4989 0.4989 0.2606 1
As4 0.5011 0.5011 0.7394 1
As5 0.8294 0.8294 0.9189 1
As6 0.8346 0.8346 0.4138 1
```


(9)
RbMoN2: relaxed, GGA-PBE.

Output
The calculation puts the spin magnetization at 0.0 μB per formula unit. The calculation puts the raw formation energy at 0.248 eV/atom. The calculation puts the calculated total energy at -6.865 eV per atom. Its polymorph energy (0 for the lowest one) is 659.2 meV per atom.

Cell and atoms, written as CIF:
```
data_RbMoN2
_chemical_formula_sum 'Rb3 Mo3 N6'
_space_group_name_H-M_alt 'P 1'
_space_group_IT_number 1
_cell_length_a 3.1813
_cell_length_b 3.1813
_cell_length_c 21.7323
_cell_angle_alpha 90.00
_cell_angle_beta 90.00
_cell_angle_gamma 120.00
loop_
_space_group_symop_operation_xyz
'x,y,z'
loop_
_atom_site_label
_atom_site_fract_x
_atom_site_fract_y
_atom_site_fract_z
_atom_site_occupancy
Rb1 0.0000 0.0000 0.0000 1
Rb2 0.3333 0.6667 0.6667 1
Rb3 0.6667 0.3333 0.3333 1
Mo1 0.0000 0.0000 0.5000 1
Mo2 0.3333 0.6667 0.1667 1
Mo3 0.6667 0.3333 0.8333 1
N1 0.0000 0.0000 0.1201 1
N2 0.0000 0.0000 0.8799 1
N3 0.3333 0.6667 0.5466 1
N4 0.3333 0.6667 0.7867 1
N5 0.6667 0.3333 0.2133 1
N6 0.6667 0.3333 0.4534 1
```


(10)
Dy12Y2Ho5: relaxed, GGA-PBE.

Output
The calculation puts the spin magnetization at 0.0 μB per formula unit. The value obtained for the formation energy is 0.277 eV/atom. The calculation puts the calculated total energy at -4.514 eV per atom. Its polymorph energy (0 for the lowest one) is 162.8 meV per atom.

Cell and atoms, written as CIF:
```
data_Dy12Y2Ho5
_chemical_formula_sum 'Dy12 Y2 Ho5'
_space_group_name_H-M_alt 'P 1'
_space_group_IT_number 1
_cell_length_a 9.2035
_cell_length_b 9.2035
_cell_length_c 11.1298
_cell_angle_alpha 104.10
_cell_angle_beta 104.10
_cell_angle_gamma 43.51
loop_
_space_group_symop_operation_xyz
'x,y,z'
loop_
_atom_site_label
_atom_site_fract_x
_atom_site_fract_y
_atom_site_fract_z
_atom_site_occupancy
Dy1 0.0512 0.0512 0.2692 1
Dy2 0.0707 0.5461 0.7744 1
Dy3 0.1497 0.6246 0.2497 1
Dy4 0.3754 0.8503 0.7503 1
Dy5 0.4218 0.4218 0.5786 1
Dy6 0.4539 0.9293 0.2256 1
Dy7 0.5461 0.0707 0.7744 1
Dy8 0.5782 0.5782 0.4214 1
Dy9 0.6246 0.1497 0.2497 1
Dy10 0.8503 0.3754 0.7503 1
Dy11 0.9293 0.4539 0.2256 1
Dy12 0.9488 0.9488 0.7308 1
Y1 0.2476 0.7524 0.0000 1
Y2 0.7524 0.2476 0.0000 1
Ho1 0.0000 0.0000 0.5000 1
Ho2 0.2102 0.2102 0.5070 1
Ho3 0.2241 0.2241 0.9941 1
Ho4 0.7759 0.7759 0.0059 1
Ho5 0.7898 0.7898 0.4930 1
```


(11)
TeP2Pt: relaxed, GGA-PBE.

Output
The calculation puts the spin magnetization at 0.0 μB per formula unit. The calculation puts the raw formation energy at 0.146 eV/atom. The calculation puts the calculated total energy at -4.855 eV per atom.

Cell and atoms, written as CIF:
```
data_TeP2Pt
_chemical_formula_sum 'Te1 P2 Pt1'
_space_group_name_H-M_alt 'P 1'
_space_group_IT_number 1
_cell_length_a 3.5017
_cell_length_b 3.5017
_cell_length_c 6.5062
_cell_angle_alpha 90.00
_cell_angle_beta 90.00
_cell_angle_gamma 90.00
loop_
_space_group_symop_operation_xyz
'x,y,z'
loop_
_atom_site_label
_atom_site_fract_x
_atom_site_fract_y
_atom_site_fract_z
_atom_site_occupancy
Te1 0.0000 0.0000 0.0000 1
P1 0.0000 0.0000 0.4119 1
P2 0.5000 0.5000 0.4653 1
Pt1 0.5000 0.5000 0.8283 1
```


(12)
NaCaGdAg: relaxed, GGA-PBE.

Output
The calculation puts the spin magnetization at 7.7 μB per formula unit. The value obtained for the formation energy is 0.027 eV/atom. The calculation puts the calculated total energy at -5.036 eV per atom.

Cell and atoms, written as CIF:
```
data_NaCaGdAg
_chemical_formula_sum 'Na4 Ca4 Gd4 Ag4'
_space_group_name_H-M_alt 'P 1'
_space_group_IT_number 1
_cell_length_a 7.6795
_cell_length_b 7.6795
_cell_length_c 7.6795
_cell_angle_alpha 90.00
_cell_angle_beta 90.00
_cell_angle_gamma 90.00
loop_
_space_group_symop_operation_xyz
'x,y,z'
loop_
_atom_site_label
_atom_site_fract_x
_atom_site_fract_y
_atom_site_fract_z
_atom_site_occupancy
Na1 0.0000 0.0000 0.0000 1
Na2 0.0000 0.5000 0.5000 1
Na3 0.5000 0.0000 0.5000 1
Na4 0.5000 0.5000 0.0000 1
Ca1 0.2500 0.2500 0.2500 1
Ca2 0.2500 0.7500 0.7500 1
Ca3 0.7500 0.2500 0.7500 1
Ca4 0.7500 0.7500 0.2500 1
Gd1 0.2500 0.2500 0.7500 1
Gd2 0.2500 0.7500 0.2500 1
Gd3 0.7500 0.2500 0.2500 1
Gd4 0.7500 0.7500 0.7500 1
Ag1 0.0000 0.0000 0.5000 1
Ag2 0.0000 0.5000 0.0000 1
Ag3 0.5000 0.0000 0.0000 1
Ag4 0.5000 0.5000 0.5000 1
```